# TiMnSe2, relaxed, DFT GGA-PBE
data_TiMnSe2
_chemical_formula_sum 'Ti4 Mn4 Se8'
_symmetry_space_group_name_H-M 'F m -3 m'
_symmetry_Int_Tables_number 225
_symmetry_space_group_name_Hall '-F 4 2 3'
_cell_length_a 6.4723
_cell_length_b 6.4723
_cell_length_c 6.4723
_cell_angle_alpha 90.00
_cell_angle_beta 90.00
_cell_angle_gamma 90.00
loop_
_atom_site_label
_atom_site_type_symbol
_atom_site_fract_x
_atom_site_fract_y
_atom_site_fract_z
Ti1 Ti 0.0000 0.0000 0.0000
Mn1 Mn 0.0000 0.0000 0.5000
Se1 Se 0.2500 0.2500 0.2500
# Total magnetization: 2.93 μB/f.u.
# Offset from the most stable computed form: 47.2 meV per atom
# Uncorrected energy: -0.4761 Ry/atom

---

# Ti3MnSe, relaxed, DFT GGA-PBE
data_Ti3MnSe
_chemical_formula_sum 'Ti3 Mn1 Se1'
_symmetry_space_group_name_H-M 'P m -3 m'
_symmetry_Int_Tables_number 221
_symmetry_space_group_name_Hall '-P 4 2 3'
_cell_length_a 4.5944
_cell_length_b 4.5944
_cell_length_c 4.5944
_cell_angle_alpha 90.00
_cell_angle_beta 90.00
_cell_angle_gamma 90.00
loop_
_atom_site_label
_atom_site_type_symbol
_atom_site_fract_x
_atom_site_fract_y
_atom_site_fract_z
Ti1 Ti 0.0000 0.0000 0.5000
Mn1 Mn 0.5000 0.5000 0.5000
Se1 Se 0.0000 0.0000 0.0000
# Total magnetization: 0.19 μB/f.u.
# Offset from the most stable computed form: 354.1 meV per atom
# Uncorrected energy: -0.4938 Ry/atom

---

# TiMn3Se6, relaxed, DFT GGA-PBE
data_TiMn3Se6
_chemical_formula_sum 'Ti3 Mn9 Se18'
_symmetry_space_group_name_H-M 'R 3'
_symmetry_Int_Tables_number 146
_symmetry_space_group_name_Hall 'R 3'
_cell_length_a 6.4895
_cell_length_b 6.4895
_cell_length_c 17.4874
_cell_angle_alpha 90.00
_cell_angle_beta 90.00
_cell_angle_gamma 120.00
loop_
_atom_site_label
_atom_site_type_symbol
_atom_site_fract_x
_atom_site_fract_y
_atom_site_fract_z
Ti1 Ti 0.0000 0.0000 0.0000
Mn1 Mn 0.0000 0.0000 0.3173
Mn2 Mn 0.0000 0.0000 0.5027
Mn3 Mn 0.0000 0.0000 0.8149
Se1 Se 0.0068 0.6878 0.9078
Se2 Se 0.0177 0.3484 0.0746
# Total magnetization: 12.99 μB/f.u.
# Uncorrected energy: -0.4573 Ry/atom

---

# Ti3Mn3Se8, relaxed, DFT GGA-PBE
data_Ti3Mn3Se8
_chemical_formula_sum 'Ti9 Mn9 Se24'
_symmetry_space_group_name_H-M 'R -3 m'
_symmetry_Int_Tables_number 166
_symmetry_space_group_name_Hall '-R 3 2"'
_cell_length_a 7.5417
_cell_length_b 7.5417
_cell_length_c 19.2636
_cell_angle_alpha 90.00
_cell_angle_beta 90.00
_cell_angle_gamma 120.00
loop_
_atom_site_label
_atom_site_type_symbol
_atom_site_fract_x
_atom_site_fract_y
_atom_site_fract_z
Ti1 Ti 0.0000 0.5000 0.0000
Mn1 Mn 0.0000 0.0000 0.1264
Mn2 Mn 0.0000 0.0000 0.5000
Se1 Se 0.0000 0.0000 0.2565
Se2 Se 0.0205 0.5103 0.2539
# Total magnetization: 16.57 μB/f.u.
# Uncorrected energy: -0.4731 Ry/atom

---

Number 1: uncorrected formation energy -469 meV per atom, volume 271.13 Å³ per cell. Number 2: uncorrected formation energy 549 meV per atom, volume 96.98 Å³ per cell. Number 3: uncorrected formation energy -591 meV per atom, volume 637.79 Å³ per cell. Number 4: uncorrected formation energy -789 meV per atom, volume 948.87 Å³ per cell.